The following is a DFT calculation (GGA-PBEsol) of a relaxed structure of KCl.

Unit cell a=4.2685 b=4.2685 c=3.8509 alpha=90.00 beta=90.00 gamma=120.00
Space group P-6m2 (No. 187)
Symmetry-distinct sites (fractional):
K  0.0000  0.0000  0.0000 [1 per cell]
Cl  0.6667  0.3333  0.5000 [1 per cell]

Output
* uncorrected formation energy: -3.79 eV/f.u.



The following is a DFT calculation (GGA-PBEsol) of a relaxed structure of CaAg2Rh.

Unit cell a=4.033 b=4.033 c=4.281 alpha=90.00 beta=90.00 gamma=90.00
Space group P4/mmm (No. 123)
Symmetry-distinct sites (fractional):
Ca  0.000  0.000  0.000 [1 per cell]
Ag  0.000  0.500  0.500 [2 per cell]
Rh  0.500  0.500  0.000 [1 per cell]

Output
* polymorph energy (0 for the lowest one): 0.0000 eV/atom
* formation enthalpy at 0 K: -0.126 eV per atom



The following is a DFT calculation (GGA-PBEsol) of a relaxed structure of GeRhN2O.

Unit cell a=3.756 b=3.756 c=3.618 alpha=90.00 beta=90.00 gamma=90.00
Space group P4/mmm (No. 123)
Symmetry-distinct sites (fractional):
Ge  0.000  0.000  0.000 [1 per cell]
Rh  0.500  0.500  0.500 [1 per cell]
N  0.000  0.500  0.000 [2 per cell]
O  0.000  0.000  0.500 [1 per cell]

Output
* uncorrected formation energy: 4.26 eV/f.u.



The following is a DFT calculation (GGA-PBEsol) of a relaxed structure of ZnNiAu2.

Unit cell a=2.809 b=3.390 c=6.060 alpha=90.00 beta=90.00 gamma=90.00
Space group Pmm2 (No. 25)
Symmetry-distinct sites (fractional):
Zn  0.000  0.000  0.000 [1 per cell]
Ni  0.500  0.500  0.802 [1 per cell]
Au  0.000  0.000  0.558 [1 per cell]
Au  0.500  0.500  0.255 [1 per cell]

Output
* formation enthalpy at 0 K: -0.109 eV per atom



The following is a DFT calculation (GGA-PBEsol) of a relaxed structure of Rb2CaTaNb.

Unit cell a=6.433 b=6.433 c=6.073 alpha=90.00 beta=90.00 gamma=90.00
Space group P4/mmm (No. 123)
Symmetry-distinct sites (fractional):
Rb  0.000  0.500  0.000 [2 per cell]
Ca  0.000  0.000  0.500 [1 per cell]
Ta  0.000  0.000  0.000 [1 per cell]
Nb  0.500  0.500  0.500 [1 per cell]

Output
* formation enthalpy at 0 K: 2.428 eV per atom



The following is a DFT calculation (GGA-PBEsol) of a relaxed structure of Cr5Os.

Unit cell a=2.832 b=2.832 c=8.706 alpha=90.00 beta=90.00 gamma=90.00
Space group P4/mmm (No. 123)
Symmetry-distinct sites (fractional):
Cr  0.000  0.000  0.000 [1 per cell]
Cr  0.000  0.000  0.314 [2 per cell]
Cr  0.500  0.500  0.161 [2 per cell]
Os  0.500  0.500  0.500 [1 per cell]

Output
* polymorph energy (0 for the lowest one): 0.0000 eV/atom
* formation enthalpy at 0 K: 0.042 eV per atom



no.,volume (Å³/cell),electronic total energy (eV/atom)
1,60.8,-3.4634
2,69.7,-4.3495
3,51.0,-6.2238
4,57.7,-4.0058
5,251.3,-3.0832
6,69.8,-10.5287